# 1
# Ho3TmSn2N2

Ho3TmSn2N2 after structural relaxation (PBE, OQMD).

The space group is P3m1 (No. 156) and the conventional cell measures 3.4993, 3.4993 and 15.2560 Å, with angles of 90.00, 90.00 and 120.00 degrees. The distinct sites, in fractional coordinates, are Ho at (0.0000, 0.0000, 0.0000), Ho at (0.0000, 0.0000, 0.3295), Ho at (0.3333, 0.6667, 0.5008), Tm at (0.3333, 0.6667, 0.8302), Sn at (0.0000, 0.0000, 0.6663), Sn at (0.3333, 0.6667, 0.1646), N at (0.6667, 0.3333, 0.4151) and N at (0.6667, 0.3333, 0.9127).

Its total energy is -6.55 eV/atom. Its total magnetic moment is 0.002 μB/atom.

***

# 2
# SrHo2N2

SrHo2N2 after structural relaxation (PBE, OQMD).

The space group is P-3m1 (No. 164) and the conventional cell measures 3.5599, 3.5599 and 9.0108 Å, with angles of 90.00, 90.00 and 120.00 degrees. The distinct sites, in fractional coordinates, are Sr at (0.0000, 0.0000, 0.0000), Ho at (0.3333, 0.6667, 0.3179) and N at (0.3333, 0.6667, 0.7990).

Its total energy is -6.60 eV/atom. Its total magnetic moment is 0.046 μB/atom.